{"formula": "Y3CdC", "functional": "PBE", "state": "optimized geometry", "lattice_angstrom": [[4.709, 0.000, 0.778], [0.000, 7.264, 0.000], [-1.322, 0.000, 8.007]], "species": ["Y", "Y", "Y", "Y", "Y", "Y", "C", "C", "Cd", "Cd"], "frac_coords": [[0.750, 0.996, 0.655], [0.250, 0.004, 0.345], [0.750, 0.504, 0.655], [0.250, 0.496, 0.345], [0.750, 0.250, 0.080], [0.250, 0.750, 0.920], [0.750, 0.250, 0.808], [0.250, 0.750, 0.192], [0.250, 0.250, 0.779], [0.750, 0.750, 0.221]], "magmom_total_mub_per_fu": 0.000, "sg": "Pmmn (59)", "density_g_cm3": 4.6, "final_energy_ev_per_atom": -5.687, "polymorph_energy_kj_per_mol_fu": 270.1}